DFT (PBEsol) results for a geometry-optimized Be2TeF structure.

```
Be2TeF
1.0
4.6232 0.0000 0.0000
0.0000 4.6232 0.0000
0.0000 0.0000 10.9925
Be Te F
8 4 4
direct
0.1447 0.2500 0.1250
0.2500 0.6447 0.3750
0.2500 0.8553 0.8750
0.3553 0.2500 0.6250
0.6447 0.7500 0.6250
0.7500 0.1447 0.8750
0.7500 0.3553 0.3750
0.8553 0.7500 0.1250
0.0000 0.0000 0.5000
0.0000 0.5000 0.7500
0.5000 0.0000 0.2500
0.5000 0.5000 0.0000
0.0000 0.0000 0.0000
0.0000 0.5000 0.2500
0.5000 0.0000 0.7500
0.5000 0.5000 0.5000
```

Output
- Space group: I-42d, No. 122
- Energy above the lowest structure with this stoichiometry: 0.00 kcal/mol of atoms
- Total energy: -15.67 eV/f.u.
- Calculated volume: 14.68 Å³/atom
- Theoretical density: 4.654 g/cm3
- Raw formation energy: -0.55 eV/atom

=====

DFT (PBEsol) results for a geometry-optimized ReAs2Ru structure.

```
ReAs2Ru
1.0
2.9553 0.0000 0.0000
-1.4776 2.5593 0.0000
0.0000 0.0000 23.1055
Re As Ru
3 6 3
direct
0.0000 0.0000 0.0000
0.3333 0.6667 0.6667
0.6667 0.3333 0.3333
0.0000 0.0000 0.2491
0.0000 0.0000 0.7509
0.3333 0.6667 0.4175
0.3333 0.6667 0.9158
0.6667 0.3333 0.0842
0.6667 0.3333 0.5825
0.0000 0.0000 0.5000
0.3333 0.6667 0.1667
0.6667 0.3333 0.8333
```

Output
- Space group: R-3m, No. 166
- Energy above the lowest structure with this stoichiometry: 0.00 kcal/mol of atoms
- Total energy: -33.14 eV/f.u.
- Calculated volume: 14.56 Å³/atom
- Theoretical density: 12.460 g/cm3
- Energy of formation from the pure elements: 3.35 kcal/mol of atoms